Entry 1:
Li4PmHg2 | GGA-PBE | optimized geometry

**Distance to the lowest polymorph of the same formula**: 3 meV/atom
**ΔH_f (0 K)**: -0.2829 eV/atom
**Space-group type**: R-3m

abc: 8.1419 8.1419 8.1419
angles: 33.90 33.90 33.90
Sites, in units of the cell vectors:
1 Li 0.0718 0.0718 0.0718
2 Li 0.3572 0.3572 0.3572
3 Li 0.6428 0.6428 0.6428
4 Li 0.9282 0.9282 0.9282
5 Pm 0.5000 0.5000 0.5000
6 Hg 0.2402 0.2402 0.2402
7 Hg 0.7598 0.7598 0.7598

---

Entry 2:
GaAsO2 | GGA-PBE | optimized geometry

**Formation energy without anion corrections**: -0.41 eV per formula unit
**Distance to the lowest polymorph of the same formula**: 1158 meV/atom
**Space-group type**: Fm-3m

abc: 5.7589 5.7589 5.7589
angles: 90.00 90.00 90.00
Sites, in units of the cell vectors:
1 Ga 0.0000 0.0000 0.0000
2 Ga 0.0000 0.5000 0.5000
3 Ga 0.5000 0.0000 0.5000
4 Ga 0.5000 0.5000 0.0000
5 As 0.0000 0.0000 0.5000
6 As 0.0000 0.5000 0.0000
7 As 0.5000 0.0000 0.0000
8 As 0.5000 0.5000 0.5000
9 O 0.2500 0.2500 0.2500
10 O 0.2500 0.2500 0.7500
11 O 0.2500 0.7500 0.2500
12 O 0.2500 0.7500 0.7500
13 O 0.7500 0.2500 0.2500
14 O 0.7500 0.2500 0.7500
15 O 0.7500 0.7500 0.2500
16 O 0.7500 0.7500 0.7500

---

Entry 3:
RbSr2LaPt | GGA-PBE | optimized geometry

**ΔH_f (0 K)**: -0.3390 eV/atom
**Space-group type**: P4/mmm

abc: 6.2975 6.2975 5.6485
angles: 90.00 90.00 90.00
Sites, in units of the cell vectors:
1 Rb 0.0000 0.0000 0.0000
2 Sr 0.0000 0.5000 0.5000
3 Sr 0.5000 0.0000 0.5000
4 La 0.5000 0.5000 0.0000
5 Pt 0.5000 0.5000 0.5000

---

Entry 4:
AgIO3 | GGA-PBE | optimized geometry

**Formation energy without anion corrections**: -1.37 eV per formula unit
**Space-group type**: Pbca

abc: 5.9023 6.1268 17.5796
angles: 90.00 90.00 90.00
Sites, in units of the cell vectors:
1 Ag 0.0159 0.2115 0.0396
2 Ag 0.0159 0.2885 0.5396
3 Ag 0.4841 0.7115 0.0396
4 Ag 0.4841 0.7885 0.5396
5 Ag 0.5159 0.2115 0.4604
6 Ag 0.5159 0.2885 0.9604
7 Ag 0.9841 0.7115 0.4604
8 Ag 0.9841 0.7885 0.9604
9 I 0.0096 0.1991 0.3365
10 I 0.0096 0.3009 0.8365
11 I 0.4904 0.6991 0.3365
12 I 0.4904 0.8009 0.8365
13 I 0.5096 0.1991 0.1635
14 I 0.5096 0.3009 0.6635
15 I 0.9904 0.6991 0.1635
16 I 0.9904 0.8009 0.6635
17 O 0.1297 0.1069 0.4292
18 O 0.1297 0.3931 0.9292
19 O 0.1583 0.5746 0.6206
20 O 0.1583 0.9254 0.1206
21 O 0.2472 0.1515 0.7938
22 O 0.2472 0.3485 0.2938
23 O 0.2528 0.6515 0.7938
24 O 0.2528 0.8485 0.2938
25 O 0.3417 0.0746 0.6206
26 O 0.3417 0.4254 0.1206
27 O 0.3703 0.6069 0.4292
28 O 0.3703 0.8931 0.9292
29 O 0.6297 0.1069 0.0708
30 O 0.6297 0.3931 0.5708
31 O 0.6583 0.5746 0.8794
32 O 0.6583 0.9254 0.3794
33 O 0.7472 0.1515 0.7062
34 O 0.7472 0.3485 0.2062
35 O 0.7528 0.6515 0.7062
36 O 0.7528 0.8485 0.2062
37 O 0.8417 0.0746 0.8794
38 O 0.8417 0.4254 0.3794
39 O 0.8703 0.6069 0.0708
40 O 0.8703 0.8931 0.5708

---

Entry 5:
K2NaScF6 | GGA-PBE | optimized geometry

**Formation energy without anion corrections**: -33.28 eV per formula unit
**Distance to the lowest polymorph of the same formula**: 0 meV/atom
**Space-group type**: P2_1/c

abc: 6.0564 6.0739 10.5086
angles: 90.00 125.18 90.00
Sites, in units of the cell vectors:
1 K 0.2471 0.0225 0.2499
2 K 0.2471 0.4775 0.7499
3 K 0.7529 0.5225 0.2501
4 K 0.7529 0.9775 0.7501
5 Na 0.0000 0.0000 0.5000
6 Na 0.0000 0.5000 0.0000
7 Sc 0.5000 0.0000 0.0000
8 Sc 0.5000 0.5000 0.5000
9 F 0.2084 0.2013 0.9750
10 F 0.2084 0.2987 0.4750
11 F 0.2735 0.7328 0.9733
12 F 0.2735 0.7672 0.4733
13 F 0.3159 0.0114 0.7657
14 F 0.3159 0.4886 0.2657
15 F 0.6841 0.5114 0.7343
16 F 0.6841 0.9886 0.2343
17 F 0.7265 0.2328 0.5267
18 F 0.7265 0.2672 0.0267
19 F 0.7916 0.7013 0.5250
20 F 0.7916 0.7987 0.0250

---

Entry 6:
PrDyZnIr | GGA-PBE | optimized geometry

**Distance to the lowest polymorph of the same formula**: 0 meV/atom
**ΔH_f (0 K)**: -0.5382 eV/atom
**Space-group type**: Amm2

abc: 4.3915 3.9748 10.8841
angles: 90.00 90.00 90.00
Sites, in units of the cell vectors:
1 Pr 0.0000 0.0000 0.0000
2 Pr 0.0000 0.5000 0.5000
3 Dy 0.5000 0.0000 0.2805
4 Dy 0.5000 0.5000 0.7805
5 Zn 0.5000 0.0000 0.5763
6 Zn 0.5000 0.5000 0.0763
7 Ir 0.0000 0.0000 0.7161
8 Ir 0.0000 0.5000 0.2161

---

Entry 7:
BeVZn2 | GGA-PBE | optimized geometry

**ΔH_f (0 K)**: 0.0097 eV/atom
**Space-group type**: P4/mmm

abc: 3.6351 3.6351 3.7955
angles: 90.00 90.00 90.00
Sites, in units of the cell vectors:
1 Be 0.0000 0.0000 0.0000
2 V 0.5000 0.5000 0.0000
3 Zn 0.0000 0.5000 0.5000
4 Zn 0.5000 0.0000 0.5000

---

Entry 8:
Ti2Si2Os | GGA-PBE | optimized geometry

**Formation energy without anion corrections**: 0.44 eV per formula unit
**Space-group type**: P4/mbm

abc: 7.0306 7.0306 3.0600
angles: 90.00 90.00 90.00
Sites, in units of the cell vectors:
1 Ti 0.1317 0.3683 0.0000
2 Ti 0.3683 0.8683 0.0000
3 Ti 0.6317 0.1317 0.0000
4 Ti 0.8683 0.6317 0.0000
5 Si 0.1743 0.6743 0.5000
6 Si 0.3257 0.1743 0.5000
7 Si 0.6743 0.8257 0.5000
8 Si 0.8257 0.3257 0.5000
9 Os 0.0000 0.0000 0.0000
10 Os 0.5000 0.5000 0.0000

---

Entry 9:
RbGaF3 | GGA-PBE | optimized geometry

**Formation energy without anion corrections**: -12.04 eV per formula unit
**Space-group type**: P2_1/m

abc: 4.0321 6.6688 7.7436
angles: 90.00 105.07 90.00
Sites, in units of the cell vectors:
1 Rb 0.1714 0.2500 0.3413
2 Rb 0.8286 0.7500 0.6587
3 Ga 0.4312 0.2500 0.8642
4 Ga 0.5688 0.7500 0.1358
5 F 0.0370 0.7500 0.0721
6 F 0.3451 0.0415 0.6916
7 F 0.3451 0.4585 0.6916
8 F 0.6549 0.5415 0.3084
9 F 0.6549 0.9585 0.3084
10 F 0.9630 0.2500 0.9279

---

Entry 10:
YMo2Pt | GGA-PBE | optimized geometry

**Distance to the lowest polymorph of the same formula**: 221 meV/atom
**ΔH_f (0 K)**: 0.0841 eV/atom
**Space-group type**: Cm

abc: 9.6097 2.8383 5.4091
angles: 90.00 97.02 90.00
Sites, in units of the cell vectors:
1 Y 0.0000 0.0000 0.0000
2 Y 0.5000 0.5000 0.0000
3 Mo 0.0338 0.5000 0.4973
4 Mo 0.2717 0.5000 0.3231
5 Mo 0.5338 0.0000 0.4973
6 Mo 0.7717 0.0000 0.3231
7 Pt 0.2518 0.0000 0.7853
8 Pt 0.7518 0.5000 0.7853

---

Entry 11:
HfInAs2Br | GGA-PBE | optimized geometry

**Formation energy without anion corrections**: 3.93 eV per formula unit
**Distance to the lowest polymorph of the same formula**: 1003 meV/atom
**Space-group type**: P4/mmm

abc: 5.1529 5.1529 5.1798
angles: 90.00 90.00 90.00
Sites, in units of the cell vectors:
1 Hf 0.0000 0.0000 0.0000
2 In 0.5000 0.5000 0.5000
3 As 0.0000 0.5000 0.5000
4 As 0.5000 0.0000 0.5000
5 Br 0.5000 0.5000 0.0000

---

Entry 12:
OsPb4W | GGA-PBE | optimized geometry

**ΔH_f (0 K)**: 1.8522 eV/atom
**Space-group type**: F-43m

abc: 6.1163 6.1163 6.1163
angles: 60.00 60.00 60.00
Sites, in units of the cell vectors:
1 Os 0.0000 0.0000 0.0000
2 Pb 0.1247 0.6251 0.6251
3 Pb 0.6251 0.1247 0.6251
4 Pb 0.6251 0.6251 0.1247
5 Pb 0.6251 0.6251 0.6251
6 W 0.2500 0.2500 0.2500

---

no.,E (eV per atom)
1,-2.141
2,-4.500
3,-3.399
4,-4.130
5,-5.435
6,-5.417
7,-3.839
8,-7.484
9,-4.330
10,-8.458
11,-3.947
12,-4.651